First-principles (GGA+U) data for crystalline Li4Nb2Cr3Fe3O16 at its relaxed geometry, as listed in the Alexandria database.

Cell and atoms, written as POSCAR:
```
Li4Nb2Cr3Fe3O16
1.0
5.162 -2.983 0.000
5.162 2.983 0.000
-0.080 0.000 9.707
Li Nb Cr Fe O
4 2 3 3 16
Cartesian
0.000 0.000 0.000 Li
-0.017 0.000 4.858 Li
3.360 0.000 8.840 Li
6.866 0.000 4.002 Li
3.393 0.000 4.884 Nb
6.901 0.000 0.000 Nb
1.767 0.000 2.161 Cr
5.988 1.454 7.041 Cr
5.988 -1.454 7.041 Cr
4.285 1.449 2.197 Fe
4.285 -1.449 2.197 Fe
8.527 0.000 7.009 Fe
0.003 0.000 3.048 O
2.646 1.315 3.416 O
1.681 0.000 5.883 O
4.284 1.478 5.826 O
6.043 1.499 0.978 O
3.465 0.000 1.125 O
2.646 -1.315 3.416 O
4.964 0.000 3.443 O
7.557 1.338 8.268 O
5.283 0.000 8.228 O
4.284 -1.478 5.826 O
6.875 0.000 6.028 O
8.600 0.000 0.970 O
6.043 -1.499 0.978 O
7.557 -1.338 8.268 O
10.235 0.000 7.897 O
```

Calculated values
VASP energy = -7.17 eV per atom